(1)
A relaxed Ti4Tc2Sn crystal. Source: Alexandria via LeMat-Bulk, functional PBE.

Formation enthalpy at 0 K = 913 meV/atom
Density of states at the Fermi level = 1.4129 states/eV per atom
Total magnetic moment = 0.000 μB per cell
Crystal system = tetragonal

Cell lengths 4.940, 4.940, 7.130 Å; angles 69.73, 69.73, 90.00 degrees
Fractional positions:
Ti 0.000 0.500 0.000
Ti 0.500 0.000 0.000
Tc 0.389 0.389 0.223
Ti 0.214 0.214 0.571
Ti 0.786 0.786 0.429
Sn 0.000 0.000 0.000
Tc 0.611 0.611 0.777

---

(2)
A relaxed TbHo2Cu4 crystal. Source: Alexandria via LeMat-Bulk, functional PBE.

Formation enthalpy at 0 K = -12 meV/atom
Density of states at the Fermi level = 0.7467 states/eV per atom
Total magnetic moment = 0.000 μB per cell
Crystal system = tetragonal

Cell lengths 5.219, 5.219, 6.493 Å; angles 113.70, 113.70, 90.00 degrees
Fractional positions:
Tb 0.000 0.000 0.000
Cu 0.877 0.377 0.754
Cu 0.123 0.623 0.246
Ho 0.702 0.702 0.403
Ho 0.298 0.298 0.597
Cu 0.377 0.877 0.754
Cu 0.623 0.123 0.246

---

(3)
A relaxed Li3Ce2YS6 crystal. Source: Alexandria via LeMat-Bulk, functional PBE.

Formation energy (no corrections) = -21.1 eV/f.u.
Density of states at the Fermi level = 1.0468 states/eV per atom
Total magnetic moment = 2.001 μB per cell
Crystal system = monoclinic

Cell lengths 6.952, 6.952, 6.591 Å; angles 100.03, 100.03, 120.07 degrees
Last column: magnetic moment on the atom in μB.
Fractional positions:
Li 0.841 0.159 0.500  0.00
S 0.757 0.757 0.254  -0.01
S 0.410 0.085 0.255  -0.01
S 0.243 0.243 0.746  -0.01
S 0.915 0.590 0.745  -0.01
Y 0.000 0.000 0.000  0.03
S 0.085 0.410 0.255  -0.01
Ce 0.333 0.667 0.000  0.90
Li 0.159 0.841 0.500  0.00
S 0.590 0.915 0.745  -0.01
Ce 0.667 0.333 0.000  0.90
Li 0.500 0.500 0.500  0.00

---

(4)
A relaxed PdSI3 crystal. Source: Alexandria via LeMat-Bulk, functional PBE.

Formation energy (no corrections) = 2.6 eV/f.u.
Density of states at the Fermi level = 0.9019 states/eV per atom
Energy above the lowest structure with this stoichiometry = 0.000 eV/atom
Total magnetic moment = 2.535 μB per cell
Crystal system = cubic

Cell lengths 5.490, 5.490, 5.490 Å; angles 90.00, 90.00, 90.00 degrees
Last column: magnetic moment on the atom in μB.
Fractional positions:
I 0.000 0.000 0.500  0.15
Pd 0.000 0.000 0.000  0.03
I 0.500 0.000 0.000  0.20
S 0.500 0.500 0.500  1.15
I 0.000 0.500 0.000  0.11

---

(5)
A relaxed TbGdAlPt crystal. Source: Alexandria via LeMat-Bulk, functional PBE.

Formation enthalpy at 0 K = -710 meV/atom
Density of states at the Fermi level = 0.5895 states/eV per atom
Total magnetic moment = 7.074 μB per cell
Crystal system = cubic

Cell lengths 5.066, 5.066, 5.066 Å; angles 60.00, 60.00, 60.00 degrees
Last column: magnetic moment on the atom in μB.
Fractional positions:
Pt 0.250 0.250 0.250  -0.01
Gd 0.000 0.000 0.000  6.99
Al 0.750 0.750 0.750  -0.01
Tb 0.500 0.500 0.500  -0.01

---

(6)
A relaxed GeSO2 crystal. Source: Alexandria via LeMat-Bulk, functional PBE.

Formation energy (no corrections) = 0.7 eV/f.u.
Density of states at the Fermi level = 0.3244 states/eV per atom
Energy above the lowest structure with this stoichiometry = 0.556 eV/atom
Total magnetic moment = 0.000 μB per cell
Crystal system = trigonal

Cell lengths 6.727, 6.727, 6.727 Å; angles 26.59, 26.59, 26.59 degrees
Fractional positions:
O 0.886 0.886 0.886
S 0.500 0.500 0.500
O 0.114 0.114 0.114
Ge 0.000 0.000 0.000

---

(7)
A relaxed LiCu2Pd2Au4 crystal. Source: Alexandria via LeMat-Bulk, functional PBE.

Formation enthalpy at 0 K = -186 meV/atom
Density of states at the Fermi level = 0.3371 states/eV per atom
Total magnetic moment = 0.000 μB per cell
Crystal system = triclinic

Cell lengths 4.925, 6.810, 4.857 Å; angles 118.31, 99.60, 88.97 degrees
Fractional positions:
Au 0.329 0.692 0.003
Au 0.671 0.308 0.997
Au 0.880 0.784 0.346
Au 0.120 0.216 0.654
Pd 0.772 0.554 0.669
Li 0.000 0.000 0.000
Cu 0.442 0.885 0.657
Cu 0.558 0.115 0.343
Pd 0.228 0.446 0.331

---

(8)
A relaxed CaGd2Dy crystal. Source: Alexandria via LeMat-Bulk, functional PBE.

Formation enthalpy at 0 K = 133 meV/atom
Density of states at the Fermi level = 1.5172 states/eV per atom
Energy above the lowest structure with this stoichiometry = 0.078 eV/atom
Total magnetic moment = 15.277 μB per cell
Crystal system = cubic

Cell lengths 5.757, 5.757, 5.757 Å; angles 60.00, 60.00, 60.00 degrees
Last column: magnetic moment on the atom in μB.
Fractional positions:
Gd 0.250 0.250 0.250  -7.23
Gd 0.750 0.750 0.750  -7.23
Dy 0.500 0.500 0.500  -0.11
Ca 0.000 0.000 0.000  -0.02